Below is an optimized crystal structure of ZnSi2As, with properties calculated at the PBEsol level.

Cell and atoms, written as POSCAR:
```
ZnSi2As
1.0
2.6448 0.0000 0.0000
0.0000 4.5796 0.0000
0.0000 0.0000 5.2551
Si As Zn
2 1 1
Cartesian
0.0000 0.0000 1.2813 Si
0.0000 0.0000 3.9738 Si
1.3224 2.2898 2.6275 As
1.3224 2.2898 0.0000 Zn
```

Results
- Theoretical density: 5.13 g/cm³
- Total moment: 0.0 μB per formula unit
- Calculated total energy: -16.7 eV/cell


Below is an optimized crystal structure of ZnSiAs2, with properties calculated at the PBEsol level.

Cell and atoms, written as POSCAR:
```
ZnSiAs2
1.0
4.5510 0.0000 0.0000
2.2755 3.9413 0.0000
2.2755 1.3138 3.7159
Si As Zn
1 2 1
Cartesian
0.0000 0.0000 0.0000 Si
6.8265 3.9413 2.7869 As
2.2755 1.3138 0.9290 As
4.5510 2.6275 1.8579 Zn
```

Results
- Theoretical density: 6.06 g/cm³
- Total moment: 0.0 μB per formula unit
- Calculated total energy: -16.2 eV/cell


Below is an optimized crystal structure of ZnSiAs2, with properties calculated at the PBEsol level.

Cell and atoms, written as POSCAR:
```
ZnSiAs2
1.0
-0.9286 -2.5934 -2.1067
2.0251 -2.3075 1.9480
-4.9417 1.3614 3.3567
Si As Zn
1 2 1
Cartesian
-4.0208 -0.9967 2.9993 Si
-0.3403 -0.0843 0.2538 As
-3.0292 -1.9325 0.8600 As
-0.8484 -1.6151 2.3622 Zn
```

Results
- Theoretical density: 5.73 g/cm³
- Total moment: 0.0 μB per formula unit
- Calculated total energy: -16.7 eV/cell


Below is an optimized crystal structure of ZnSiAs2, with properties calculated at the PBEsol level.

Cell and atoms, written as POSCAR:
```
ZnSiAs2
1.0
-1.6433 -0.4939 -3.5584
2.2220 -1.1409 -3.0607
-1.0139 -6.6718 -0.7987
As Si Zn
2 1 1
Cartesian
-1.0062 -6.6328 -0.8077 As
-0.2249 -4.1901 -3.7004 As
0.1527 -3.7975 -6.1222 Si
-0.6971 -6.5878 -3.1496 Zn
```

Results
- Theoretical density: 4.67 g/cm³
- Total moment: 0.0 μB per formula unit
- Calculated total energy: -17.8 eV/cell


Below is an optimized crystal structure of Zr4SiAs, with properties calculated at the PBEsol level.

Cell and atoms, written as POSCAR:
```
Zr4SiAs
1.0
-2.0743 -5.1545 -0.0438
1.3497 -3.5723 4.0362
-3.7982 -1.4983 3.7686
Zr Si As
4 1 1
Cartesian
-3.6024 -4.5807 4.7996 Zr
-2.7358 -6.4187 2.8830 Zr
-1.6930 -3.8275 2.9051 Zr
-1.0144 -5.6233 4.9341 Zr
0.0000 0.0000 0.0000 Si
-3.3921 -7.6688 5.8207 As
```

Results
- Theoretical density: 6.41 g/cm³
- Total moment: 0.0 μB per formula unit
- Calculated total energy: -46.0 eV/cell


Below is an optimized crystal structure of ZrSiAs, with properties calculated at the PBEsol level.

Cell and atoms, written as POSCAR:
```
ZrSiAs
1.0
3.5567 0.0000 0.0000
0.0000 6.4417 0.0000
0.0000 0.0000 9.2567
As Zr Si
4 4 4
Cartesian
0.8892 3.9748 7.9438 As
0.8892 0.7540 5.9413 As
2.6675 2.4669 1.3129 As
2.6675 5.6877 3.3154 As
0.8892 1.4351 3.1372 Zr
2.6675 1.7857 7.7655 Zr
0.8892 4.6559 1.4912 Zr
2.6675 5.0065 6.1195 Zr
2.6675 2.4677 5.0090 Si
0.8892 0.7532 0.3806 Si
0.8892 3.9740 4.2477 Si
2.6675 5.6885 8.8760 Si
```

Results
- Theoretical density: 6.08 g/cm³
- Total moment: 0.0 μB per formula unit
- Calculated total energy: -89.5 eV/cell